Ca2HfAlC: relaxed, PBE-GGA.

Lattice parameters (Å, degrees): 6.079 6.079 4.139 90.00 90.00 90.00
Space group P4/mmm (No. 123)
Inequivalent atoms, fractional coordinates:
Ca  0.000  0.500  0.000 (multiplicity 2)
Hf  0.000  0.000  0.000 (multiplicity 1)
Al  0.500  0.500  0.500 (multiplicity 1)
C  0.000  0.000  0.500 (multiplicity 1)

Properties
Calculated formation energy: 1.067 eV/atom
Crystal system: tetragonal

CaCdHgW2: relaxed, PBE-GGA.

Lattice parameters (Å, degrees): 5.114 5.114 5.178 90.00 90.00 90.00
Space group P4/mmm (No. 123)
Inequivalent atoms, fractional coordinates:
Ca  0.000  0.000  0.000 (multiplicity 1)
Cd  0.500  0.500  0.000 (multiplicity 1)
Hg  0.500  0.500  0.500 (multiplicity 1)
W  0.000  0.500  0.500 (multiplicity 2)

Properties
Calculated formation energy: 2.004 eV/atom
Crystal system: tetragonal

RbZn3Hg: relaxed, PBE-GGA.

Lattice parameters (Å, degrees): 7.002 7.002 7.002 90.00 90.00 90.00
Space group Pm-3m (No. 221)
Inequivalent atoms, fractional coordinates:
Rb  0.000  0.000  0.000 (multiplicity 1)
Zn  0.000  0.000  0.500 (multiplicity 3)
Hg  0.500  0.500  0.500 (multiplicity 1)

Properties
Calculated formation energy: 0.659 eV/atom
Offset from the most stable computed form: 460 meV/atom
Crystal system: cubic

LiCrPb: relaxed, PBE-GGA.

Lattice parameters (Å, degrees): 6.470 6.470 6.470 90.00 90.00 90.00
Space group F-43m (No. 216)
Inequivalent atoms, fractional coordinates:
Li  0.000  0.000  0.000 (multiplicity 4)
Cr  0.000  0.000  0.500 (multiplicity 4)
Pb  0.250  0.250  0.250 (multiplicity 4)

Properties
Calculated formation energy: 0.418 eV/atom
Offset from the most stable computed form: 174 meV/atom
Crystal system: cubic

La2Er4Tm3: relaxed, PBE-GGA.

Lattice parameters (Å, degrees): 3.5761 3.5761 26.2091 90.00 90.00 120.00
Space group P3m1 (No. 156)
Inequivalent atoms, fractional coordinates:
La  0.0000  0.0000  0.0000 (multiplicity 1)
La  0.0000  0.0000  0.2246 (multiplicity 1)
Er  0.0000  0.0000  0.3592 (multiplicity 1)
Er  0.0000  0.0000  0.5690 (multiplicity 1)
Er  0.3333  0.6667  0.6754 (multiplicity 1)
Er  0.3333  0.6667  0.8861 (multiplicity 1)
Tm  0.0000  0.0000  0.7811 (multiplicity 1)
Tm  0.3333  0.6667  0.1148 (multiplicity 1)
Tm  0.3333  0.6667  0.4632 (multiplicity 1)

Properties
Calculated formation energy: 0.048 eV/atom
Offset from the most stable computed form: 0 meV/atom
Crystal system: trigonal

La3AlGa2Au6: relaxed, PBE-GGA.

Lattice parameters (Å, degrees): 6.2607 6.2607 8.4324 90.00 90.00 120.00
Space group P-3m1 (No. 164)
Inequivalent atoms, fractional coordinates:
La  0.0000  0.0000  0.0000 (multiplicity 1)
La  0.3333  0.6667  0.6355 (multiplicity 2)
Al  0.0000  0.0000  0.5000 (multiplicity 1)
Ga  0.3333  0.6667  0.0267 (multiplicity 2)
Au  0.1779  0.3558  0.2877 (multiplicity 6)

Properties
Calculated formation energy: -0.588 eV/atom
Crystal system: trigonal

Li2LaCo: relaxed, PBE-GGA.

Lattice parameters (Å, degrees): 3.404 3.411 7.000 90.00 90.07 90.00
Space group Pm (No. 6)
Inequivalent atoms, fractional coordinates:
Li  0.000  0.000  0.000 (multiplicity 1)
Li  0.499  0.500  0.192 (multiplicity 1)
La  0.500  0.500  0.607 (multiplicity 1)
Co  0.999  0.000  0.391 (multiplicity 1)

Properties
Calculated formation energy: 0.130 eV/atom
Offset from the most stable computed form: 0 meV/atom
Crystal system: monoclinic

UTaCrC3: relaxed, PBE-GGA.

Lattice parameters (Å, degrees): 6.891 3.128 7.338 90.00 101.59 90.00
Space group P2_1/m (No. 11)
Inequivalent atoms, fractional coordinates:
U  0.176  0.250  0.197 (multiplicity 2)
Ta  0.352  0.750  0.858 (multiplicity 2)
Cr  0.110  0.250  0.596 (multiplicity 2)
C  0.119  0.250  0.865 (multiplicity 2)
C  0.191  0.750  0.474 (multiplicity 2)
C  0.425  0.750  0.160 (multiplicity 2)

Properties
Calculated formation energy: -0.111 eV/atom
Crystal system: monoclinic

Sb6O13: relaxed, PBE-GGA.

Lattice parameters (Å, degrees): 7.321 7.343 10.527 90.00 90.00 90.00
Space group Imm2 (No. 44)
Inequivalent atoms, fractional coordinates:
Sb  0.000  0.248  0.000 (multiplicity 4)
Sb  0.235  0.500  0.246 (multiplicity 4)
Sb  0.250  0.000  0.253 (multiplicity 4)
O  0.000  0.000  0.321 (multiplicity 2)
O  0.000  0.000  0.931 (multiplicity 2)
O  0.000  0.500  0.074 (multiplicity 2)
O  0.000  0.500  0.335 (multiplicity 2)
O  0.000  0.500  0.684 (multiplicity 2)
O  0.193  0.212  0.134 (multiplicity 8)
O  0.197  0.290  0.873 (multiplicity 8)

Properties
Energy relative to the elements, uncorrected: -1.30 eV/atom
Offset from the most stable computed form: 6 meV/atom
Crystal system: orthorhombic

LaAs3C: relaxed, PBE-GGA.

Lattice parameters (Å, degrees): 5.651 5.651 5.651 90.00 90.00 90.00
Space group Pm-3m (No. 221)
Inequivalent atoms, fractional coordinates:
La  0.000  0.000  0.000 (multiplicity 1)
As  0.000  0.000  0.500 (multiplicity 3)
C  0.500  0.500  0.500 (multiplicity 1)

Properties
Calculated formation energy: 2.138 eV/atom
Offset from the most stable computed form: 1871 meV/atom
Crystal system: cubic

BeHg2Sb: relaxed, PBE-GGA.

Lattice parameters (Å, degrees): 4.604 4.604 8.321 90.00 90.00 90.00
Space group I-4m2 (No. 119)
Inequivalent atoms, fractional coordinates:
Be  0.000  0.000  0.000 (multiplicity 2)
Hg  0.000  0.000  0.500 (multiplicity 2)
Hg  0.000  0.500  0.750 (multiplicity 2)
Sb  0.000  0.500  0.250 (multiplicity 2)

Properties
Energy relative to the elements, uncorrected: 0.56 eV/atom
Offset from the most stable computed form: 390 meV/atom
Crystal system: tetragonal

MnRe7: relaxed, PBE-GGA.

Lattice parameters (Å, degrees): 7.776 7.776 7.776 90.00 90.00 90.00
Space group Fm-3m (No. 225)
Inequivalent atoms, fractional coordinates:
Mn  0.000  0.000  0.000 (multiplicity 4)
Re  0.000  0.000  0.500 (multiplicity 4)
Re  0.000  0.250  0.250 (multiplicity 24)

Properties
Calculated formation energy: 0.065 eV/atom
Crystal system: cubic

Mn2Nb3Co7: relaxed, PBE-GGA.

Lattice parameters (Å, degrees): 4.7422 4.7422 23.1676 90.00 90.00 120.00
Space group R-3m (No. 166, hexagonal axes)
Inequivalent atoms, fractional coordinates:
Mn  0.0000  0.0000  0.1652 (multiplicity 6)
Nb  0.0000  0.0000  0.3638 (multiplicity 6)
Nb  0.0000  0.0000  0.5000 (multiplicity 3)
Co  0.0000  0.0000  0.0000 (multiplicity 3)
Co  0.0039  0.5019  0.4162 (multiplicity 18)

Properties
Calculated formation energy: -0.102 eV/atom
Crystal system: trigonal

CaLuZnPt: relaxed, PBE-GGA.

Lattice parameters (Å, degrees): 6.971 6.971 6.971 90.00 90.00 90.00
Space group F-43m (No. 216)
Inequivalent atoms, fractional coordinates:
Ca  0.000  0.000  0.000 (multiplicity 4)
Lu  0.000  0.000  0.500 (multiplicity 4)
Zn  0.250  0.250  0.750 (multiplicity 4)
Pt  0.250  0.250  0.250 (multiplicity 4)

Properties
Calculated formation energy: -0.687 eV/atom
Crystal system: cubic

CaSc2Cr: relaxed, PBE-GGA.

Lattice parameters (Å, degrees): 4.653 4.653 9.079 90.00 90.00 90.00
Space group I-4m2 (No. 119)
Inequivalent atoms, fractional coordinates:
Ca  0.000  0.000  0.000 (multiplicity 2)
Sc  0.000  0.000  0.500 (multiplicity 2)
Sc  0.000  0.500  0.250 (multiplicity 2)
Cr  0.000  0.500  0.750 (multiplicity 2)

Properties
Calculated formation energy: 0.448 eV/atom
Offset from the most stable computed form: 234 meV/atom
Crystal system: tetragonal

NpUAs: relaxed, PBE-GGA.

Lattice parameters (Å, degrees): 12.518 3.611 5.727 90.00 110.30 90.00
Space group C2/m (No. 12)
Inequivalent atoms, fractional coordinates:
Np  0.040  0.000  0.223 (multiplicity 4)
U  0.177  0.500  0.221 (multiplicity 4)
As  0.129  0.500  0.687 (multiplicity 4)

Properties
Calculated formation energy: -0.638 eV/atom
Offset from the most stable computed form: 0 meV/atom
Crystal system: monoclinic

SmSc3Au4: relaxed, PBE-GGA.

Lattice parameters (Å, degrees): 4.8289 4.8289 25.1982 90.00 90.00 120.00
Space group R-3m (No. 166, hexagonal axes)
Inequivalent atoms, fractional coordinates:
Sm  0.0000  0.0000  0.0000 (multiplicity 3)
Sc  0.0000  0.0000  0.2460 (multiplicity 6)
Sc  0.0000  0.0000  0.5000 (multiplicity 3)
Au  0.0000  0.0000  0.1284 (multiplicity 6)
Au  0.0000  0.0000  0.3887 (multiplicity 6)

Properties
Calculated formation energy: -0.786 eV/atom
Crystal system: trigonal

Pr3Nd8Sc2: relaxed, PBE-GGA.

Lattice parameters (Å, degrees): 20.047 7.860 5.784 90.00 90.07 90.00
Space group C2/m (No. 12)
Inequivalent atoms, fractional coordinates:
Pr  0.000  0.000  0.000 (multiplicity 2)
Pr  0.000  0.291  0.500 (multiplicity 4)
Nd  0.113  0.294  0.001 (multiplicity 8)
Nd  0.135  0.000  0.499 (multiplicity 4)
Nd  0.181  0.500  0.502 (multiplicity 4)
Sc  0.240  0.000  0.998 (multiplicity 4)

Properties
Calculated formation energy: 0.225 eV/atom
Crystal system: monoclinic

CdInSi2: relaxed, PBE-GGA.

Lattice parameters (Å, degrees): 3.180 3.471 7.455 90.00 90.00 90.00
Space group Pmm2 (No. 25)
Inequivalent atoms, fractional coordinates:
Cd  0.000  0.000  0.000 (multiplicity 1)
In  0.500  0.500  0.309 (multiplicity 1)
Si  0.000  0.000  0.597 (multiplicity 1)
Si  0.500  0.500  0.726 (multiplicity 1)

Properties
Energy relative to the elements, uncorrected: 0.31 eV/atom
Offset from the most stable computed form: 42 meV/atom
Crystal system: orthorhombic

La7BI12: relaxed, PBE-GGA.

Lattice parameters (Å, degrees): 16.2337 16.2337 10.9698 90.00 90.00 120.00
Space group R-3 (No. 148, hexagonal axes)
Inequivalent atoms, fractional coordinates:
La  0.0000  0.0000  0.0000 (multiplicity 3)
La  0.0424  0.1559  0.3547 (multiplicity 18)
B  0.0000  0.0000  0.5000 (multiplicity 3)
I  0.0215  0.5864  0.1625 (multiplicity 18)
I  0.0510  0.1856  0.8389 (multiplicity 18)

Properties
Energy relative to the elements, uncorrected: -1.31 eV/atom
Crystal system: trigonal